An optimized crystal structure of Ca2MgSb2Rh5, computed with GGA-PBE.

Computed properties:
ΔE_f (raw) ... -0.47 eV per atom
Total moment ... 0.00 μB per cell
Symmetry ... No. 127

Unit cell a=3.668 b=10.230 c=10.230 alpha=90.00 beta=90.00 gamma=90.00
Element x y z (fractional)
Rh1 0.500 0.435 0.299
Rh2 0.500 0.201 0.065
Rh3 0.500 0.565 0.701
Rh4 0.500 0.299 0.565
Rh5 0.500 0.500 0.000
Rh6 0.500 0.799 0.935
Rh7 0.500 0.065 0.799
Rh8 0.500 0.701 0.435
Rh9 0.500 0.935 0.201
Rh10 0.500 0.000 0.500
Sb1 0.000 0.130 0.630
Sb2 0.000 0.870 0.370
Sb3 0.000 0.370 0.130
Sb4 0.000 0.630 0.870
Mg1 0.000 0.500 0.500
Mg2 0.000 0.000 0.000
Ca1 0.000 0.330 0.830
Ca2 0.000 0.170 0.330
Ca3 0.000 0.670 0.170
Ca4 0.000 0.830 0.670